# 1
VASP calculation (GGA-PBEsol) on a relaxed structure of Mo9Se11.

Summary:
Polymorph energy (0 for the lowest one) (meV per atom): 9
Raw total energy (eV/atom): -7.91
Space-group type: Cmcm, No. 63
Formation energy (no corrections) (kJ/mol of formula units): -954
Magnetization (μB/atom): 0.0000

Unit cell a=8.843 b=8.843 c=10.930 alpha=90.00 beta=90.00 gamma=95.17
Fractional coordinates of all 40 atoms:
Mo1 0.824 0.176 0.127
Mo2 0.176 0.824 0.627
Mo3 0.824 0.176 0.373
Mo4 0.176 0.824 0.873
Mo5 0.647 0.353 0.250
Mo6 0.353 0.647 0.750
Mo7 0.695 0.926 0.250
Mo8 0.305 0.074 0.750
Mo9 0.074 0.305 0.250
Mo10 0.926 0.695 0.750
Mo11 0.519 0.099 0.128
Mo12 0.481 0.901 0.628
Mo13 0.901 0.481 0.372
Mo14 0.099 0.519 0.872
Mo15 0.481 0.901 0.872
Mo16 0.519 0.099 0.372
Mo17 0.099 0.519 0.628
Mo18 0.901 0.481 0.128
Se1 0.992 0.008 0.250
Se2 0.008 0.992 0.750
Se3 0.654 0.346 0.014
Se4 0.346 0.654 0.514
Se5 0.654 0.346 0.486
Se6 0.346 0.654 0.986
Se7 0.365 0.281 0.250
Se8 0.635 0.719 0.750
Se9 0.719 0.635 0.250
Se10 0.281 0.365 0.750
Se11 0.058 0.289 0.016
Se12 0.942 0.711 0.516
Se13 0.711 0.942 0.484
Se14 0.289 0.058 0.984
Se15 0.942 0.711 0.984
Se16 0.058 0.289 0.484
Se17 0.289 0.058 0.516
Se18 0.711 0.942 0.016
Se19 0.412 0.872 0.250
Se20 0.588 0.128 0.750
Se21 0.128 0.588 0.250
Se22 0.872 0.412 0.750

---

# 2
VASP calculation (GGA-PBEsol) on a relaxed structure of Mo9Se11.

Summary:
Polymorph energy (0 for the lowest one) (meV per atom): 0
Raw total energy (eV/atom): -7.92
Space-group type: P6_3/m, No. 176
Formation energy (no corrections) (kJ/mol of formula units): -971
Magnetization (μB/atom): 0.0000

Unit cell a=9.355 b=9.355 c=12.086 alpha=90.00 beta=90.00 gamma=120.00
Fractional coordinates of all 40 atoms:
Mo1 0.841 0.485 0.939
Mo2 0.643 0.159 0.939
Mo3 0.515 0.357 0.939
Mo4 0.159 0.515 0.439
Mo5 0.357 0.841 0.439
Mo6 0.485 0.643 0.439
Mo7 0.159 0.515 0.061
Mo8 0.357 0.841 0.061
Mo9 0.485 0.643 0.061
Mo10 0.841 0.485 0.561
Mo11 0.643 0.159 0.561
Mo12 0.515 0.357 0.561
Mo13 0.823 0.318 0.750
Mo14 0.495 0.177 0.750
Mo15 0.682 0.505 0.750
Mo16 0.177 0.682 0.250
Mo17 0.505 0.823 0.250
Mo18 0.318 0.495 0.250
Se1 0.962 0.292 0.922
Se2 0.330 0.038 0.922
Se3 0.708 0.670 0.922
Se4 0.038 0.708 0.422
Se5 0.670 0.962 0.422
Se6 0.292 0.330 0.422
Se7 0.038 0.708 0.078
Se8 0.670 0.962 0.078
Se9 0.292 0.330 0.078
Se10 0.962 0.292 0.578
Se11 0.330 0.038 0.578
Se12 0.708 0.670 0.578
Se13 0.998 0.631 0.750
Se14 0.633 0.002 0.750
Se15 0.369 0.367 0.750
Se16 0.002 0.369 0.250
Se17 0.367 0.998 0.250
Se18 0.631 0.633 0.250
Se19 0.667 0.333 0.104
Se20 0.333 0.667 0.604
Se21 0.333 0.667 0.896
Se22 0.667 0.333 0.396

---

# 3
VASP calculation (GGA-PBEsol) on a relaxed structure of Mo3Se4.

Summary:
Polymorph energy (0 for the lowest one) (meV per atom): 245
Raw total energy (eV/atom): -7.55
Space-group type: I4/mmm, No. 139
Formation energy (no corrections) (kJ/mol of formula units): -204
Magnetization (μB/atom): 0.0001

Unit cell a=3.053 b=3.053 c=13.905 alpha=96.30 beta=96.30 gamma=90.00
Fractional coordinates of all 7 atoms:
Mo1 0.000 0.000 0.000
Mo2 0.715 0.715 0.430
Mo3 0.285 0.285 0.570
Se1 0.835 0.835 0.669
Se2 0.165 0.165 0.331
Se3 0.556 0.556 0.111
Se4 0.444 0.444 0.889